# 1
Entry from the Alexandria database: an optimized crystal structure of Tb4ScHg (PBE).

- Distance to the lowest polymorph of the same formula: 106 meV per atom
- Density: 8.2 g/cm³
- Energy relative to the elements: -0.14 eV/f.u.
- Space group: C2/c (15)

POSCAR file:
```
Tb4ScHg
1.0
6.1977 -0.7202 0.0000
-2.4827 8.5312 0.0000
-1.8575 -3.9055 6.9555
Tb Sc Hg
8 2 2
Direct
0.0525 0.1869 0.7910
0.7615 0.3959 0.2090
0.6411 0.0912 0.3816
0.2385 0.6041 0.7910
0.2405 0.2905 0.3816
0.7595 0.7095 0.6184
0.3589 0.9088 0.6184
0.9475 0.8131 0.2090
0.6469 0.3969 0.7937
0.3531 0.6031 0.2063
0.7502 0.0002 0.0004
0.2498 0.9998 0.9996
```



# 2
Entry from the Alexandria database: an optimized crystal structure of TbScHg6 (PBE).

- Distance to the lowest polymorph of the same formula: 47 meV per atom
- Density: 12.4 g/cm³
- Energy relative to the elements: -2.13 eV/f.u.
- Space group: P4/mmm (123)

POSCAR file:
```
TbScHg6
1.0
4.6501 0.0000 0.0000
0.0000 4.6501 0.0000
0.0000 0.0000 8.6963
Hg Sc Tb
6 1 1
Direct
0.0000 0.5000 0.7413
0.5000 0.5000 0.0000
0.5000 0.0000 0.7413
0.5000 0.0000 0.2587
0.5000 0.5000 0.5000
0.0000 0.5000 0.2587
0.0000 0.0000 0.5000
0.0000 0.0000 0.0000
```



# 3
Entry from the Alexandria database: an optimized crystal structure of Tb4ScHg (PBE).

- Distance to the lowest polymorph of the same formula: 0 meV per atom
- Density: 8.5 g/cm³
- Energy relative to the elements: -0.77 eV/f.u.
- Space group: P4/mmm (123)

POSCAR file:
```
Tb4ScHg
1.0
3.5515 -0.0006 0.0000
0.0008 3.5516 0.0000
-0.0014 -0.0014 13.6911
Hg Tb Sc
1 4 1
Direct
0.5000 0.5000 0.5000
0.0000 0.0000 0.3508
0.0000 0.0000 0.6492
0.5000 0.5000 0.8329
0.5000 0.5000 0.1671
0.0000 0.0000 0.0000
```



# 4
Entry from the Alexandria database: an optimized crystal structure of Tb3Sc2Hg7 (PBE).

- Density: 10.7 g/cm³
- Energy relative to the elements: -3.37 eV/f.u.
- Space group: Cmmm (65)

POSCAR file:
```
Tb3Sc2Hg7
1.0
-3.2742 3.5510 2.4198
-3.4216 -3.6536 0.7319
6.4026 -0.5861 9.5235
Hg Tb Sc
7 3 2
Direct
0.0000 0.2763 0.5526
0.0000 0.5786 0.1573
0.0000 0.4214 0.8427
0.5000 0.0884 0.1769
0.0000 0.7237 0.4474
0.0000 0.0000 0.0000
0.5000 0.9116 0.8231
0.5000 0.3307 0.6615
0.5000 0.6693 0.3385
0.5000 0.5000 0.0000
0.0000 0.1430 0.2860
0.0000 0.8570 0.7140
```